DFT (GGA-PBE) results for a geometry-optimized Ga2CuNiPd4 structure.

Cell lengths 4.294, 4.294, 6.064 Å; angles 90.00, 90.00, 90.00 degrees
Sites, in units of the cell vectors:
Ga1 0.000 0.000 0.000
Ga2 0.500 0.500 0.500
Cu1 0.000 0.000 0.500
Ni1 0.500 0.500 0.000
Pd1 0.000 0.500 0.247
Pd2 0.000 0.500 0.753
Pd3 0.500 0.000 0.247
Pd4 0.500 0.000 0.753

Values from the calculation:
Symmetry   P4/mmm (123)
Electronic total energy   -39.59 eV per formula unit